Entry 1:
Entry from Alexandria via LeMat-Bulk: an optimized crystal structure of CsP2CCl (GGA-PBE).

For the density of states at the Fermi level, the calculation gives 0.67 states/eV per atom. Its calculated volume is 30.63 Å³ per atom. The calculation puts the magnetization at 0.32 Bohr magnetons per cell. As for the space group: P4/mmm. The energy above the most stable polymorph in this dataset is 0.000 eV/atom. The calculation puts the uncorrected formation energy at 0.636 eV/atom.

a = 4.1734 Å, b = 4.1734 Å, c = 8.7924 Å
α = 90.00°, β = 90.00°, γ = 90.00°
With the nearest neighbours (Å) after each atom.
Element x y z (fractional)
Cs (0.0000, 0.0000, 0.0000)  4 Cl 2.95
P (0.0000, 0.5000, 0.5000)  2 C 2.09
P (0.5000, 0.0000, 0.5000)  2 C 2.09
C (0.5000, 0.5000, 0.5000)  4 P 2.09
Cl (0.5000, 0.5000, 0.0000)  4 Cs 2.95


Entry 2:
Entry from Alexandria via LeMat-Bulk: an optimized crystal structure of TiPd2F (GGA-PBE).

For the density of states at the Fermi level, the calculation gives 0.84 states/eV per atom. Its calculated volume is 15.27 Å³ per atom. The calculation puts the magnetization at 0.00 Bohr magnetons per cell. As for the space group: I-42d. The energy above the most stable polymorph in this dataset is 0.000 eV/atom. The calculation puts the uncorrected formation energy at -0.573 eV/atom.

a = 5.5030 Å, b = 5.5030 Å, c = 5.5030 Å
α = 102.81°, β = 102.81°, γ = 123.81°
With the nearest neighbours (Å) after each atom.
Element x y z (fractional)
Ti (0.0000, 0.0000, 0.0000)  4 Pd 2.54, 2 F 2.59
Ti (0.7500, 0.2500, 0.5000)  4 Pd 2.54, 2 F 2.59
Pd (0.1306, 0.6250, 0.0056)  2 F 2.49, 2 Ti 2.54, 2 Pd 2.59
Pd (0.3750, 0.3806, 0.5056)  2 F 2.49, 2 Ti 2.54, 2 Pd 2.59
Pd (0.6194, 0.1250, 0.9944)  2 F 2.49, 2 Ti 2.54, 2 Pd 2.59
Pd (0.8750, 0.8694, 0.4944)  2 F 2.49, 2 Ti 2.54, 2 Pd 2.59
F (0.2500, 0.7500, 0.5000)  4 Pd 2.49, 2 Ti 2.59
F (0.5000, 0.5000, 0.0000)  4 Pd 2.49, 2 Ti 2.59